# 1
Material: Tm3As2PtRh9
Method: DFT, PBE-GGA
State: optimized geometry

- Formation energy: -313 meV/atom
- Density: 9.6 g/cm³
- Symmetry: No. 164
- Total DFT energy (no corrections): -6.64 eV/atom

Unit cell a=6.259 b=6.259 c=9.052 alpha=90.00 beta=90.00 gamma=120.00
Fractional positions:
Tm 0.000 0.000 0.000
Tm 0.333 0.667 0.740
Tm 0.667 0.333 0.260
As 0.333 0.667 0.176
As 0.667 0.333 0.824
Pt 0.000 0.000 0.500
Rh 0.000 0.500 0.000
Rh 0.140 0.279 0.268
Rh 0.140 0.860 0.268
Rh 0.279 0.140 0.732
Rh 0.500 0.000 0.000
Rh 0.500 0.500 0.000
Rh 0.721 0.860 0.268
Rh 0.860 0.140 0.732
Rh 0.860 0.721 0.732


# 2
Material: In3I7O
Method: DFT, PBE-GGA
State: optimized geometry

- Density: 4.8 g/cm³
- Symmetry: No. 156
- Total DFT energy (no corrections): -2.73 eV/atom
- Raw formation energy: -0.542 eV per atom

Unit cell a=8.123 b=8.123 c=7.537 alpha=90.00 beta=90.00 gamma=120.00
Fractional positions:
In 0.037 0.519 0.000
In 0.481 0.519 0.000
In 0.481 0.963 0.000
I 0.163 0.326 0.250
I 0.163 0.837 0.250
I 0.330 0.165 0.780
I 0.667 0.333 0.229
I 0.674 0.837 0.250
I 0.835 0.165 0.780
I 0.835 0.670 0.780
O 0.333 0.667 0.908


Look up the density of the second one. 4.8 g/cm³


Which value of density does entry 1 give? 9.6 g/cm³


Which formula does entry 1 have? Tm3As2PtRh9